Record 1
First-principles (PBE-GGA) data for VNi6Ge after structural relaxation, as listed in the Alexandria database.

Results
The calculation puts the uncorrected energy at -47.9 eV per formula unit. The calculation puts the formation enthalpy at 0 K at 0.061 eV/atom. The distance to the lowest polymorph of the same formula comes out at 0.316 eV/atom. The crystal system is monoclinic. For the total magnetic moment, the calculation gives 0.0 μB/f.u. Its symmetry is C2/m.

abc: 7.006 4.816 6.459
angles: 90.00 109.83 90.00
Fractional coordinates of all 16 atoms:
1 V 0.000 0.000 0.000
2 V 0.500 0.500 0.000
3 Ni 0.143 0.000 0.434
4 Ni 0.197 0.241 0.804
5 Ni 0.197 0.759 0.804
6 Ni 0.303 0.259 0.196
7 Ni 0.303 0.741 0.196
8 Ni 0.357 0.500 0.566
9 Ni 0.643 0.500 0.434
10 Ni 0.697 0.259 0.804
11 Ni 0.697 0.741 0.804
12 Ni 0.803 0.241 0.196
13 Ni 0.803 0.759 0.196
14 Ni 0.857 0.000 0.566
15 Ge 0.000 0.500 0.500
16 Ge 0.500 0.000 0.500

Record 2
First-principles (PBE-GGA) data for Mg2Pb7 after structural relaxation, as listed in the Alexandria database.

Results
The calculation puts the uncorrected energy at -29.1 eV per formula unit. The calculation puts the formation enthalpy at 0 K at 0.008 eV/atom. The crystal system is trigonal. For the total magnetic moment, the calculation gives 0.0 μB/f.u. Its symmetry is P-31m.

abc: 5.966 5.966 8.661
angles: 90.00 90.00 120.00
Fractional coordinates of all 9 atoms:
1 Mg 0.333 0.667 0.000
2 Mg 0.667 0.333 0.000
3 Pb 0.000 0.000 0.000
4 Pb 0.000 0.337 0.682
5 Pb 0.000 0.663 0.318
6 Pb 0.337 0.000 0.682
7 Pb 0.337 0.337 0.318
8 Pb 0.663 0.000 0.318
9 Pb 0.663 0.663 0.682

Record 3
First-principles (PBE-GGA) data for In2SbAu after structural relaxation, as listed in the Alexandria database.

Results
The calculation puts the uncorrected energy at -12.8 eV per formula unit. The uncorrected formation energy comes out at 0.05 eV/f.u. The distance to the lowest polymorph of the same formula comes out at 0.090 eV/atom. The crystal system is monoclinic. For the total magnetic moment, the calculation gives 0.0 μB/f.u. Its symmetry is C2/m.

abc: 5.994 8.006 4.496
angles: 90.00 108.21 90.00
Fractional coordinates of all 8 atoms:
1 In 0.250 0.250 0.000
2 In 0.250 0.750 0.000
3 In 0.750 0.250 0.000
4 In 0.750 0.750 0.000
5 Sb 0.000 0.000 0.500
6 Sb 0.500 0.500 0.500
7 Au 0.000 0.500 0.500
8 Au 0.500 0.000 0.500

Q: Which value of uncorrected energy does entry 1 give?
A: -47.9 eV per formula unit

Q: Which value of total magnetic moment does entry 2 give?
A: 0.0 μB/f.u.

Please write out number 3 again, unchanged.
First-principles (PBE-GGA) data for In2SbAu after structural relaxation, as listed in the Alexandria database.

Results
The calculation puts the uncorrected energy at -12.8 eV per formula unit. The uncorrected formation energy comes out at 0.05 eV/f.u. The distance to the lowest polymorph of the same formula comes out at 0.090 eV/atom. The crystal system is monoclinic. For the total magnetic moment, the calculation gives 0.0 μB/f.u. Its symmetry is C2/m.

abc: 5.994 8.006 4.496
angles: 90.00 108.21 90.00
Fractional coordinates of all 8 atoms:
1 In 0.250 0.250 0.000
2 In 0.250 0.750 0.000
3 In 0.750 0.250 0.000
4 In 0.750 0.750 0.000
5 Sb 0.000 0.000 0.500
6 Sb 0.500 0.500 0.500
7 Au 0.000 0.500 0.500
8 Au 0.500 0.000 0.500